First-principles (PBE) data for a relaxed NaYSbIr crystal, as listed in the Open Quantum Materials Database.

Structure (POSCAR):
```
NaYSbIr
1.0
7.035 0.000 0.000
0.000 7.035 0.000
0.000 0.000 7.035
Na Y Sb Ir
4 4 4 4
Cartesian
0.000 0.000 0.000 Na
0.000 3.518 3.518 Na
3.518 0.000 3.518 Na
3.518 3.518 0.000 Na
0.000 0.000 3.518 Y
0.000 3.518 0.000 Y
3.518 0.000 0.000 Y
3.518 3.518 3.518 Y
1.759 1.759 5.277 Sb
1.759 5.277 1.759 Sb
5.277 1.759 1.759 Sb
5.277 5.277 5.277 Sb
1.759 1.759 1.759 Ir
1.759 5.277 5.277 Ir
5.277 1.759 5.277 Ir
5.277 5.277 1.759 Ir
```

space-group type	F-43m, No. 216
ρ	8.12	Mg/m³

***

First-principles (PBE) data for a relaxed NaScIr crystal, as listed in the Open Quantum Materials Database.

Structure (POSCAR):
```
NaScIr
1.0
6.384 0.000 0.000
0.000 6.384 0.000
0.000 0.000 6.384
Na Sc Ir
4 4 4
Cartesian
0.000 0.000 0.000 Na
0.000 3.192 3.192 Na
3.192 0.000 3.192 Na
3.192 3.192 0.000 Na
0.000 0.000 3.192 Sc
0.000 3.192 0.000 Sc
3.192 0.000 0.000 Sc
3.192 3.192 3.192 Sc
1.596 1.596 1.596 Ir
1.596 4.788 4.788 Ir
4.788 1.596 4.788 Ir
4.788 4.788 1.596 Ir
```

space-group type	F-43m, No. 216
ρ	6.64	Mg/m³

***

First-principles (PBE) data for a relaxed NaSiIr crystal, as listed in the Open Quantum Materials Database.

Structure (POSCAR):
```
NaSiIr
1.0
5.880 0.000 0.000
0.000 5.880 0.000
0.000 0.000 5.880
Na Si Ir
4 4 4
Cartesian
0.000 0.000 0.000 Na
0.000 2.940 2.940 Na
2.940 0.000 2.940 Na
2.940 2.940 0.000 Na
1.470 1.470 4.410 Si
1.470 4.410 1.470 Si
4.410 1.470 1.470 Si
4.410 4.410 4.410 Si
0.000 0.000 2.940 Ir
0.000 2.940 0.000 Ir
2.940 0.000 0.000 Ir
2.940 2.940 2.940 Ir
```

space-group type	F-43m, No. 216
ρ	7.95	Mg/m³

***

First-principles (PBE) data for a relaxed NaSi2Ir2 crystal, as listed in the Open Quantum Materials Database.

Structure (POSCAR):
```
NaSi2Ir2
1.0
4.097 0.000 0.000
0.000 4.097 0.000
0.000 0.000 9.857
Na Si Ir
2 4 4
Cartesian
0.000 0.000 0.000 Na
2.048 2.048 4.928 Na
0.000 0.000 3.696 Si
0.000 0.000 6.161 Si
2.048 2.048 1.232 Si
2.048 2.048 8.625 Si
0.000 2.048 2.464 Ir
0.000 2.048 7.393 Ir
2.048 0.000 2.464 Ir
2.048 0.000 7.393 Ir
```

space-group type	I4/mmm, No. 139
ρ	9.31	Mg/m³

***

First-principles (PBE) data for a relaxed NaSiIr crystal, as listed in the Open Quantum Materials Database.

Structure (POSCAR):
```
NaSiIr
1.0
5.983 0.000 0.000
0.000 5.983 0.000
0.000 0.000 5.983
Na Si Ir
4 4 4
Cartesian
0.000 0.000 0.000 Na
0.000 2.992 2.992 Na
2.992 0.000 2.992 Na
2.992 2.992 0.000 Na
1.496 1.496 1.496 Si
1.496 4.488 4.488 Si
4.488 1.496 4.488 Si
4.488 4.488 1.496 Si
1.496 1.496 4.488 Ir
1.496 4.488 1.496 Ir
4.488 1.496 1.496 Ir
4.488 4.488 4.488 Ir
```

space-group type	F-43m, No. 216
ρ	7.54	Mg/m³

***

First-principles (PBE) data for a relaxed NaSi5Ir3 crystal, as listed in the Open Quantum Materials Database.

Structure (POSCAR):
```
NaSi5Ir3
1.0
5.426 0.000 0.000
-2.713 4.699 0.000
0.000 0.000 6.076
Na Si Ir
1 5 3
Cartesian
0.000 0.000 0.000 Na
0.000 0.000 3.038 Si
0.000 3.133 1.158 Si
0.000 3.133 4.918 Si
2.713 1.566 1.158 Si
2.713 1.566 4.918 Si
-1.356 2.349 3.038 Ir
2.713 0.000 3.038 Ir
1.356 2.349 3.038 Ir
```

space-group type	P6/mmm, No. 191
ρ	7.93	Mg/m³

***

Number 1: electronic total energy -5.43 eV per atom. Number 2: electronic total energy -5.45 eV per atom. Number 3: electronic total energy -5.07 eV per atom. Number 4: electronic total energy -6.57 eV per atom. Number 5: electronic total energy -4.01 eV per atom. Number 6: electronic total energy -6.20 eV per atom.